No. 1
DFT (PBE) results for crystalline KBaLiBr4 at its relaxed geometry.

Computed properties:
Final energy ... -0.12923 hartree per atom
N(E_F) ... 0.000 states/eV/cell
Energy relative to the elements, uncorrected ... -1855.7 meV/atom

```
KBaLiBr4
1.0
-7.351 -0.160 -0.309
0.323 -5.774 -4.680
2.894 -5.414 6.878
Br Li Ba K
8 2 2 2
direct
0.005 0.500 0.228 Br
0.005 0.000 0.228 Br
0.424 0.750 0.590 Br
0.576 0.250 0.410 Br
0.995 0.000 0.772 Br
0.995 0.500 0.772 Br
0.434 0.750 0.121 Br
0.566 0.250 0.879 Br
0.248 0.750 0.308 Li
0.752 0.250 0.692 Li
0.738 0.750 0.931 Ba
0.262 0.250 0.069 Ba
0.207 0.250 0.548 K
0.793 0.750 0.452 K
```



No. 2
DFT (PBE) results for crystalline K2BaMgBr6 at its relaxed geometry.

Computed properties:
Final energy ... -0.12299 hartree per atom
N(E_F) ... 0.000 states/eV/cell
Energy relative to the elements, uncorrected ... -1771.9 meV/atom

```
K2BaMgBr6
1.0
7.801 0.000 -0.083
0.000 8.191 0.000
-0.052 0.000 11.205
Br Ba K Mg
12 2 4 2
direct
0.280 0.679 0.058 Br
0.720 0.321 0.942 Br
0.880 0.541 0.225 Br
0.380 0.959 0.725 Br
0.329 0.720 0.434 Br
0.620 0.041 0.275 Br
0.171 0.220 0.066 Br
0.671 0.280 0.566 Br
0.120 0.459 0.775 Br
0.220 0.179 0.442 Br
0.829 0.780 0.934 Br
0.780 0.821 0.558 Br
0.000 0.500 0.500 Ba
0.500 0.000 0.000 Ba
0.972 0.075 0.753 K
0.472 0.425 0.253 K
0.528 0.575 0.747 K
0.028 0.925 0.247 K
0.000 0.500 0.000 Mg
0.500 0.000 0.500 Mg
```



No. 3
DFT (PBE) results for crystalline KBaMn2Br8 at its relaxed geometry.

Computed properties:
Final energy ... -0.14998 hartree per atom
N(E_F) ... 13.239 states/eV/cell
Energy relative to the elements, uncorrected ... -1186.0 meV/atom

```
KBaMn2Br8
1.0
-0.025 -3.094 -6.445
-5.382 -1.184 4.554
-5.204 8.338 -3.983
Mn Ba Br K
2 1 8 1
direct
0.333 0.667 0.769 Mn
0.667 0.333 0.231 Mn
0.000 0.000 0.500 Ba
0.001 0.340 0.703 Br
0.667 0.333 0.007 Br
0.339 0.999 0.703 Br
0.661 0.001 0.297 Br
0.999 0.660 0.297 Br
0.660 0.661 0.703 Br
0.340 0.339 0.297 Br
0.333 0.667 0.993 Br
0.000 0.000 0.000 K
```



No. 4
DFT (PBE) results for crystalline K2BaMoBr8 at its relaxed geometry.

Computed properties:
Final energy ... -0.13396 hartree per atom
N(E_F) ... 6.322 states/eV/cell
Energy relative to the elements, uncorrected ... -1284.1 meV/atom

```
K2BaMoBr8
1.0
6.621 -0.295 -0.004
-0.246 7.671 -0.007
0.005 0.014 9.372
K Br Mo Ba
2 8 1 1
direct
0.499 0.499 0.759 K
0.501 0.501 0.241 K
0.404 0.243 0.500 Br
0.596 0.757 0.500 Br
0.127 0.797 0.196 Br
0.336 0.178 0.001 Br
0.664 0.822 0.999 Br
0.873 0.203 0.804 Br
0.872 0.202 0.196 Br
0.128 0.798 0.804 Br
0.000 0.000 0.000 Mo
0.000 0.000 0.500 Ba
```



No. 5
DFT (PBE) results for crystalline KBa2BrN at its relaxed geometry.

Computed properties:
Final energy ... -0.09554 hartree per atom
N(E_F) ... 2.498 states/eV/cell
Energy relative to the elements, uncorrected ... 388.5 meV/atom

```
KBa2BrN
1.0
-3.059 1.026 5.260
-4.996 -0.961 -2.719
0.393 -5.997 1.399
Ba N K Br
2 1 1 1
direct
0.500 0.000 0.000 Ba
0.000 0.000 0.500 Ba
0.500 0.500 0.500 N
0.000 0.500 0.000 K
0.000 0.000 0.000 Br
```



No. 6
DFT (PBE) results for crystalline K2BaNaBr5 at its relaxed geometry.

Computed properties:
Final energy ... -0.12287 hartree per atom
N(E_F) ... 0.000 states/eV/cell
Energy relative to the elements, uncorrected ... -1809.9 meV/atom

```
K2BaNaBr5
1.0
-0.272 -2.889 3.802
8.480 5.269 1.602
-7.653 10.140 7.156
Br K Ba Na
10 4 2 2
direct
0.501 0.001 0.270 Br
0.499 0.999 0.770 Br
0.310 0.619 0.378 Br
0.942 0.883 0.558 Br
0.727 0.454 0.172 Br
0.620 0.240 0.498 Br
0.380 0.760 0.998 Br
0.058 0.117 0.058 Br
0.690 0.381 0.878 Br
0.273 0.546 0.672 Br
0.880 0.761 0.797 K
0.120 0.239 0.297 K
0.094 0.187 0.674 K
0.906 0.813 0.174 K
0.219 0.438 0.019 Ba
0.781 0.562 0.519 Ba
0.469 0.938 0.458 Na
0.531 0.062 0.958 Na
```